1.
## Ba5Tc (GGA-PBE)

Data for an optimized crystal structure of Ba5Tc.

Values from the calculation:
**D(E_F)**: 8.8 states/eV/cell

```
data_Ba5Tc
_symmetry_space_group_name_H-M 'P -6 2 m'
_symmetry_Int_Tables_number 189
_symmetry_space_group_name_Hall 'P -6 -2'
_cell_length_a 8.1758
_cell_length_b 8.1758
_cell_length_c 4.8742
_cell_angle_alpha 90.00
_cell_angle_beta 90.00
_cell_angle_gamma 120.00
loop_
_atom_site_label
_atom_site_type_symbol
_atom_site_fract_x
_atom_site_fract_y
_atom_site_fract_z
Ba1 Ba 0.0000 0.7455 0.0000
Ba2 Ba 0.3333 0.6667 0.5000
Tc1 Tc 0.0000 0.0000 0.5000
```



2.
## Ba5Tc (GGA-PBE)

Data for an optimized crystal structure of Ba5Tc.

Values from the calculation:
**D(E_F)**: 16.6 states/eV/cell

```
data_Ba5Tc
_symmetry_space_group_name_H-M 'C m m m'
_symmetry_Int_Tables_number 65
_symmetry_space_group_name_Hall '-C 2 2'
_cell_length_a 5.1214
_cell_length_b 17.3777
_cell_length_c 6.3907
_cell_angle_alpha 90.00
_cell_angle_beta 90.00
_cell_angle_gamma 90.00
loop_
_atom_site_label
_atom_site_type_symbol
_atom_site_fract_x
_atom_site_fract_y
_atom_site_fract_z
Ba1 Ba 0.0000 0.0000 0.0000
Ba2 Ba 0.0000 0.1261 0.5000
Ba3 Ba 0.0000 0.3417 0.0000
Tc1 Tc 0.0000 0.5000 0.5000
```



Energy comparison, zero being the most stable, in meV/atom: 1 63; 2 0.